Record 1
Compound: TaBeCd2
Source: Alexandria via LeMat-Bulk
Functional: PBE
Structure: relaxed

```
data_TaBeCd2
_space_group_name_H-M_alt 'P 1 m 1'
_space_group_IT_number 6
_cell_length_a 2.9362
_cell_length_b 3.9677
_cell_length_c 6.1802
_cell_angle_alpha 90.00
_cell_angle_beta 103.60
_cell_angle_gamma 90.00
loop_
_space_group_symop_operation_xyz
'x,y,z'
'x,-y,z'
loop_
_atom_site_label
_atom_site_type_symbol
_atom_site_fract_x
_atom_site_fract_y
_atom_site_fract_z
_atom_site_occupancy
Ta1 Ta 0.0000 0.0000 0.0000 1
Be1 Be 0.5732 0.5000 0.1449 1
Cd1 Cd 0.3560 0.5000 0.7124 1
Cd2 Cd 0.7169 0.0000 0.4365 1
```

Calculated values
* volume: 69.98 Å³/cell
* energy of formation from the pure elements: 1.213 eV/f.u.
* N(E_F): 0.4326 states/eV/atom


Record 2
Compound: TlGa2H
Source: Alexandria via LeMat-Bulk
Functional: PBE
Structure: relaxed

```
data_TlGa2H
_space_group_name_H-M_alt 'F m -3 m'
_space_group_IT_number 225
_space_group_name_Hall '-F 4 2 3'
_cell_length_a 6.7404
_cell_length_b 6.7404
_cell_length_c 6.7404
_cell_angle_alpha 90.00
_cell_angle_beta 90.00
_cell_angle_gamma 90.00
loop_
_atom_site_label
_atom_site_type_symbol
_atom_site_fract_x
_atom_site_fract_y
_atom_site_fract_z
_atom_site_occupancy
Tl1 Tl 0.0000 0.0000 0.0000 1
Ga1 Ga 0.2500 0.2500 0.2500 1
H1 H 0.0000 0.0000 0.5000 1
```

Calculated values
* volume: 306.24 Å³/cell
* N(E_F): 0.3871 states/eV/atom


Number 1: uncorrected energy -16.196 eV/cell. Number 2: uncorrected energy -38.703 eV/cell.